1.
Material: Nd5CdIn
Method: DFT, PBE
State: relaxed

```
14
Lattice="4.3858 -4.4934 0.0000 4.3858 4.4934 0.0000 -2.7844 0.0000 11.4154" Properties=species:S:1:pos:R:3 pbc="T T T"
Nd 2.1138 2.5518 1.8034
Nd 2.2974 3.4684 8.5616
Nd 2.0351 1.3000 5.3279
Nd 5.2655 2.5518 3.9043
Nd 5.3442 1.3000 0.3798
Nd 0.6429 -1.3000 11.0356
Nd 0.7216 -2.5518 7.5111
Nd 3.9520 -1.3000 6.0875
Nd 3.6896 -3.4684 2.8539
Nd 3.8733 -2.5518 9.6120
Cd 0.0000 0.0000 0.0000
Cd -1.3922 0.0000 5.7077
In 2.2974 0.2222 8.5616
In 3.6896 -0.2222 2.8539
```

---

2.
Material: Nd5CdIn2
Method: DFT, PBE
State: relaxed

```
8
Lattice="-3.5853 3.5853 4.6410 3.5853 -3.5853 4.6410 3.5853 3.5853 -4.6410" Properties=species:S:1:pos:R:3 pbc="T T T"
Nd 0.0000 0.0000 0.0000
Nd 1.7926 1.7926 -2.3205
Nd 1.7926 -1.7926 2.3205
Nd -1.7926 1.7926 2.3205
Nd 1.7926 1.7926 2.3205
Cd 0.0000 0.0000 4.6410
In 3.5853 0.0000 0.0000
In 0.0000 3.5853 0.0000
```

---

3.
Material: Nd5Cd2In
Method: DFT, PBE
State: relaxed

```
16
Lattice="-4.0166 4.0166 7.7954 4.0166 -4.0166 7.7954 4.0166 4.0166 -7.7954" Properties=species:S:1:pos:R:3 pbc="T T T"
Nd 0.0000 0.0000 0.0000
Nd 5.3247 1.3080 -2.4225
Nd 1.3080 2.7086 -2.4225
Nd 5.3247 1.3080 2.4225
Nd 1.3080 2.7086 2.4225
Nd 0.0000 0.0000 7.7954
Nd 2.7086 1.3080 5.3730
Nd -1.3080 2.7086 5.3730
Nd 2.7086 1.3080 10.2179
Nd -1.3080 2.7086 10.2179
Cd 2.9914 1.0252 0.0000
Cd 2.9914 -1.0252 7.7954
Cd 1.0252 5.0418 0.0000
Cd 1.0252 2.9914 7.7954
In 0.0000 0.0000 3.8977
In 0.0000 0.0000 11.6932
```

---

4.
Material: Nd3CdIn
Method: DFT, PBE
State: relaxed

```
10
Lattice="2.7293 -10.2164 0.0000 2.7293 10.2164 0.0000 0.0000 0.0000 5.4567" Properties=species:S:1:pos:R:3 pbc="T T T"
Nd 2.7293 8.9907 4.0925
Nd 2.7293 5.1193 4.0925
Nd 2.7293 1.2483 4.0925
Nd 2.7293 -1.2483 1.3642
Nd 2.7293 -5.1193 1.3642
Nd 2.7293 -8.9907 1.3642
Cd 2.7293 3.1238 1.3642
Cd 2.7293 -3.1238 4.0925
In 2.7293 7.0637 1.3642
In 2.7293 -7.0637 4.0925
```

---

5.
Material: Nd5Cd4In
Method: DFT, PBE
State: relaxed

```
10
Lattice="3.8326 0.0000 0.0000 0.0000 3.8326 0.0000 0.0000 0.0000 19.6171" Properties=species:S:1:pos:R:3 pbc="T T T"
Nd 0.0000 0.0000 0.0000
Nd 0.0000 0.0000 3.9095
Nd 0.0000 0.0000 7.8196
Nd 0.0000 0.0000 11.7974
Nd 0.0000 0.0000 15.7076
Cd 1.9163 1.9163 1.9623
Cd 1.9163 1.9163 5.8418
Cd 1.9163 1.9163 13.7753
Cd 1.9163 1.9163 17.6548
In 1.9163 1.9163 9.8085
```

---

6.
Material: Nd2CdIn3
Method: DFT, PBE
State: relaxed

```
12
Lattice="0.0000 4.9926 8.6187 3.7556 0.0000 8.6187 3.7556 4.9926 0.0000" Properties=species:S:1:pos:R:3 pbc="T T T"
Nd 5.6393 4.9926 8.6187
Nd 1.8778 2.4963 4.3093
Nd 5.6335 7.4888 12.9280
Nd 1.8719 4.9926 8.6187
Cd 3.7556 4.9926 2.8746
Cd 3.7556 4.9926 14.3627
In 3.7556 2.4850 7.1730
In 3.7556 4.9926 5.7269
In 3.7556 2.4850 10.0644
In 3.7556 7.5001 7.1730
In 3.7556 4.9926 11.5105
In 3.7556 7.5001 10.0644
```

---

7.
Material: Nd6CdIn2
Method: DFT, PBE
State: relaxed

```
18
Lattice="10.4012 0.0000 0.0000 0.0000 10.4012 0.0000 0.0000 0.0000 5.1648" Properties=species:S:1:pos:R:3 pbc="T T T"
Nd 0.1370 3.3418 0.0000
Nd 1.4042 8.9969 2.5824
Nd 1.8588 5.3376 2.5824
Nd 3.3418 0.1370 0.0000
Nd 3.7963 3.7963 0.0000
Nd 5.0636 8.5424 2.5824
Nd 5.3376 1.8588 2.5824
Nd 6.6048 6.6048 0.0000
Nd 7.0593 10.2641 0.0000
Nd 8.5424 5.0636 2.5824
Nd 8.9969 1.4042 2.5824
Nd 10.2641 7.0593 0.0000
Cd 0.0000 0.0000 0.0000
Cd 5.2006 5.2006 2.5824
In 1.9861 1.9861 2.5824
In 3.2145 7.1867 0.0000
In 7.1867 3.2145 0.0000
In 8.4151 8.4151 2.5824
```

---

8.
Material: NdCdInNi
Method: DFT, PBE
State: relaxed

```
4
Lattice="0.0000 3.5038 3.5038 3.5038 0.0000 3.5038 3.5038 3.5038 0.0000" Properties=species:S:1:pos:R:3 pbc="T T T"
Nd 0.0000 0.0000 0.0000
Cd 1.7519 1.7519 1.7519
In 3.5038 3.5038 3.5038
Ni 5.2557 5.2557 5.2557
```

---

9.
Material: NdCdInPb
Method: DFT, PBE
State: relaxed

```
4
Lattice="4.6474 0.0000 0.0000 0.0000 4.7535 0.0000 0.0000 0.0000 4.8840" Properties=species:S:1:pos:R:3 pbc="T T T"
Nd 0.0000 0.0000 0.0000
Cd 0.0000 2.3768 2.4420
In 2.3237 0.0000 2.4420
Pb 2.3237 2.3768 0.0000
```

---

10.
Material: NdCdInPb
Method: DFT, PBE
State: relaxed

```
4
Lattice="0.0000 3.8508 3.8508 3.8508 0.0000 3.8508 3.8508 3.8508 0.0000" Properties=species:S:1:pos:R:3 pbc="T T T"
Nd 0.0000 0.0000 0.0000
Cd 1.9254 1.9254 1.9254
In 5.7763 5.7763 5.7763
Pb 3.8508 3.8508 3.8508
```

---

11.
Material: Nd2Cd2InPd5
Method: DFT, PBE
State: relaxed

```
20
Lattice="10.4327 0.0000 0.0000 0.0000 10.4327 0.0000 0.0000 0.0000 3.8000" Properties=species:S:1:pos:R:3 pbc="T T T"
Nd 1.7720 3.4444 0.0000
Nd 3.4444 8.6607 0.0000
Nd 6.9883 1.7720 0.0000
Nd 8.6607 6.9883 0.0000
Cd 1.3487 6.5650 0.0000
Cd 3.8677 1.3487 0.0000
Cd 6.5650 9.0840 0.0000
Cd 9.0840 3.8677 0.0000
In 0.0000 0.0000 0.0000
In 5.2163 5.2163 0.0000
Pd 0.0000 5.2163 1.9000
Pd 0.4311 8.3567 1.9000
Pd 2.0760 0.4311 1.9000
Pd 3.1403 5.6474 1.9000
Pd 4.7853 3.1403 1.9000
Pd 5.2163 0.0000 1.9000
Pd 5.6474 7.2924 1.9000
Pd 7.2924 4.7853 1.9000
Pd 8.3567 10.0016 1.9000
Pd 10.0016 2.0760 1.9000
```

---

12.
Material: NdCdInPd
Method: DFT, PBE
State: relaxed

```
4
Lattice="0.0000 3.5584 3.5584 3.5584 0.0000 3.5584 3.5584 3.5584 0.0000" Properties=species:S:1:pos:R:3 pbc="T T T"
Nd 0.0000 0.0000 0.0000
Cd 5.3376 5.3376 5.3376
In 3.5584 3.5584 3.5584
Pd 1.7792 1.7792 1.7792
```

---

no.,E (eV/atom)
1,-4.02
2,-4.09
3,-3.78
4,-3.90
5,-3.37
6,-3.57
7,-4.15
8,-3.78
9,-3.44
10,-3.21
11,-4.51
12,-3.92